No. 1
Computed, not measured: a relaxed LiNd2Cd8 crystal at the GGA-PBE level of DFT.

abc: 5.0123 6.9163 8.2878
angles: 106.09 107.95 89.81
Closest atoms and distances in Å follow each position.
Element x y z (fractional)
Nd1 0.7860 0.3360 0.5714  10 Cd 3.20-3.51
Nd2 0.2140 0.6640 0.4286  10 Cd 3.20-3.51
Cd1 0.9851 0.2725 0.9736  7 Cd 3.00-3.28, 2 Li 3.18, 1 Nd 3.33
Cd2 0.4116 0.5788 0.8194  1 Li 2.85, 3 Cd 2.99-3.01
Cd3 0.6475 0.8732 0.2980  1 Li 2.74, 1 Cd 2.99
Cd4 0.5884 0.4212 0.1806  1 Li 2.85, 3 Cd 2.99-3.01
Cd5 0.8524 0.8664 0.7002  5 Cd 3.00-3.18, 2 Nd 3.33
Cd6 0.3525 0.1268 0.7020  1 Li 2.74, 1 Cd 2.99
Cd7 0.0149 0.7275 0.0264  7 Cd 3.00-3.28, 2 Li 3.18, 1 Nd 3.33
Cd8 0.1476 0.1336 0.2998  5 Cd 3.00-3.18, 2 Nd 3.33
Li1 0.5000 0.0000 0.0000  4 Cd 2.74-2.85

Values from the calculation:
ΔE_f: -229.9 meV/atom
Symmetry: P-1 (2)
DFT total energy: -1.9363 eV per atom

---

No. 2
Computed, not measured: a relaxed ScTiRu crystal at the GGA-PBE level of DFT.

abc: 4.1233 4.1256 4.6461
angles: 64.07 64.05 60.59
Closest atoms and distances in Å follow each position.
Element x y z (fractional)
Ti1 0.7806 0.5453 0.8109  3 Ru 2.52-2.55
Ru1 0.0426 0.8073 0.0241  3 Ti 2.52-2.55, 3 Sc 2.65-2.67
Sc1 0.2789 0.0438 0.3174  4 Ru 2.65-2.83

Values from the calculation:
ΔE_f: -182.3 meV/atom
Symmetry: Cm (8)
DFT total energy: -8.0164 eV per atom
Offset from the most stable computed form: 0.237 eV per atom